Entry 1:
VASP calculation (GGA-PBE) on MoBr4N2 after structural relaxation.

a = 8.9403 Å, b = 8.9403 Å, c = 8.9403 Å
α = 103.52°, β = 103.52°, γ = 122.18°
Last column: nearest neighbours and their distance in Å.
Fractional coordinates of all 14 atoms:
Br 0.2112 0.9952 0.7841  1 Mo 2.45
Br 0.9952 0.2112 0.7841  1 Mo 2.45
Br 0.0048 0.7888 0.2159  1 Mo 2.45
Br 0.7888 0.0048 0.2159  1 Mo 2.45
Br 0.4271 0.2112 0.2159  1 Mo 2.45
Br 0.5729 0.7888 0.7841  1 Mo 2.45
Br 0.2112 0.4271 0.2159  1 Mo 2.45
Br 0.7888 0.5729 0.7841  1 Mo 2.45
Mo 0.1499 0.1499 0.0000  4 Br 2.45, 1 Mo 2.59
Mo 0.8501 0.8501 0.0000  4 Br 2.45, 1 Mo 2.59
N 0.7256 0.7256 0.4512  8 Br 3.53-3.60
N 0.7256 0.2744 0.0000  8 Br 3.53-3.60
N 0.2744 0.7256 0.0000  8 Br 3.53-3.60
N 0.2744 0.2744 0.5488  8 Br 3.53-3.60

Calculated values
- raw formation energy (meV per atom) = 1243
- symmetry = I4/mmm (139)
- Fermi-level density of states (states/eV per atom) = 0.07

Entry 2:
VASP calculation (GGA-PBE) on MoBr3N after structural relaxation.

a = 7.4201 Å, b = 7.7381 Å, c = 12.4136 Å
α = 87.61°, β = 85.00°, γ = 61.35°
Last column: nearest neighbours and their distance in Å.
Fractional coordinates of all 20 atoms:
Br 0.4653 0.7250 0.3994  1 Mo 2.44
Br 0.9513 0.8085 0.5145  2 Mo 2.61-2.69
Br 0.8461 0.8669 0.7982  2 Mo 2.53-2.73
Br 0.2871 0.8669 0.7018  2 Mo 2.53-2.73
Br 0.8097 0.7250 0.1006  1 Mo 2.44
Br 0.2402 0.8085 0.9855  2 Mo 2.61-2.69
Br 0.7598 0.1915 0.0145  2 Mo 2.61-2.69
Br 0.1903 0.2750 0.8994  1 Mo 2.44
Br 0.1539 0.1331 0.2018  2 Mo 2.53-2.73
Br 0.5347 0.2750 0.6006  1 Mo 2.44
Br 0.0487 0.1915 0.4855  2 Mo 2.61-2.69
Br 0.7129 0.1331 0.2982  2 Mo 2.53-2.73
N 0.9205 0.3111 0.7197  1 N 1.30
N 0.7684 0.3111 0.7803  1 N 1.30
N 0.2316 0.6889 0.2197  1 N 1.30
N 0.0795 0.6889 0.2803  1 N 1.30
Mo 0.0220 0.0917 0.8446  2 N 2.04-2.15
Mo 0.1137 0.9083 0.3446  2 N 2.04-2.15
Mo 0.8863 0.0917 0.6554  2 N 2.04-2.15
Mo 0.9780 0.9083 0.1554  2 N 2.04-2.15

Calculated values
- raw formation energy (meV per atom) = -320
- symmetry = C2/c (15)
- energy above the lowest structure with this stoichiometry (eV per atom) = 0.000

Entry 3:
VASP calculation (GGA-PBE) on MoBr5N2 after structural relaxation.

a = 7.7152 Å, b = 7.2265 Å, c = 7.6035 Å
α = 74.28°, β = 59.47°, γ = 57.74°
Last column: nearest neighbours and their distance in Å.
Fractional coordinates of all 8 atoms:
N 0.1929 0.5003 0.4999  4 Br 3.49-3.65, 2 N 3.86
N 0.6932 0.4996 0.5000  4 Br 3.49-3.65, 2 N 3.86
Br 0.0602 0.0003 0.6812  1 Mo 2.41
Br 0.7410 0.9998 0.3184  1 Mo 2.41
Br 0.2595 0.5941 0.9997  1 Mo 2.48
Br 0.3671 0.0001 0.0005  1 Mo 2.40
Br 0.8533 0.4058 0.0003  1 Mo 2.48
Mo 0.0557 0.0000 0.0000  5 Br 2.40-2.48

Calculated values
- raw formation energy (meV per atom) = 967
- symmetry = Fmm2 (42)
- Fermi-level density of states (states/eV per atom) = 0.74

Entry 4:
VASP calculation (GGA-PBE) on MoBrN3 after structural relaxation.

a = 3.8424 Å, b = 3.8424 Å, c = 3.8424 Å
α = 90.00°, β = 90.00°, γ = 90.00°
Last column: nearest neighbours and their distance in Å.
Fractional coordinates of all 5 atoms:
N 0.0000 0.0000 0.5000  2 Br 1.92
N 0.0000 0.5000 0.0000  2 Br 1.92
N 0.5000 0.0000 0.0000  2 Br 1.92
Mo 0.5000 0.5000 0.5000  12 N 2.72
Br 0.0000 0.0000 0.0000  6 N 1.92

Calculated values
- raw formation energy (meV per atom) = 2591
- symmetry = Pm-3m (221)
- Fermi-level density of states (states/eV per atom) = 0.42

Entry 5:
VASP calculation (GGA-PBE) on MoBr3N after structural relaxation.

a = 4.7345 Å, b = 4.7345 Å, c = 4.7345 Å
α = 90.00°, β = 90.00°, γ = 90.00°
Last column: nearest neighbours and their distance in Å.
Fractional coordinates of all 5 atoms:
Br 0.0000 0.5000 0.0000  2 N 2.37
Br 0.0000 0.0000 0.5000  2 N 2.37
Br 0.5000 0.0000 0.0000  2 N 2.37
Mo 0.5000 0.5000 0.5000  12 Br 3.35
N 0.0000 0.0000 0.0000  6 Br 2.37

Calculated values
- raw formation energy (meV per atom) = 1413
- symmetry = Pm-3m (221)
- Fermi-level density of states (states/eV per atom) = 1.27
- energy above the lowest structure with this stoichiometry (eV per atom) = 1.733

Entry 6:
VASP calculation (GGA-PBE) on Mo3BrN after structural relaxation.

a = 4.2019 Å, b = 4.2019 Å, c = 4.2019 Å
α = 90.00°, β = 90.00°, γ = 90.00°
Last column: nearest neighbours and their distance in Å.
Fractional coordinates of all 5 atoms:
Br 0.5000 0.5000 0.5000  12 Mo 2.97
Mo 0.0000 0.0000 0.5000  2 N 2.10
Mo 0.0000 0.5000 0.0000  2 N 2.10
Mo 0.5000 0.0000 0.0000  2 N 2.10
N 0.0000 0.0000 0.0000  6 Mo 2.10

Calculated values
- raw formation energy (meV per atom) = 585
- symmetry = Pm-3m (221)
- Fermi-level density of states (states/eV per atom) = 0.66
- energy above the lowest structure with this stoichiometry (eV per atom) = 0.000

Copy entry 6 word for word.
VASP calculation (GGA-PBE) on Mo3BrN after structural relaxation.

a = 4.2019 Å, b = 4.2019 Å, c = 4.2019 Å
α = 90.00°, β = 90.00°, γ = 90.00°
Last column: nearest neighbours and their distance in Å.
Fractional coordinates of all 5 atoms:
Br 0.5000 0.5000 0.5000  12 Mo 2.97
Mo 0.0000 0.0000 0.5000  2 N 2.10
Mo 0.0000 0.5000 0.0000  2 N 2.10
Mo 0.5000 0.0000 0.0000  2 N 2.10
N 0.0000 0.0000 0.0000  6 Mo 2.10

Calculated values
- raw formation energy (meV per atom) = 585
- symmetry = Pm-3m (221)
- Fermi-level density of states (states/eV per atom) = 0.66
- energy above the lowest structure with this stoichiometry (eV per atom) = 0.000